Compound: La2NbI
Source: Alexandria
Functional: PBE
Structure: optimized geometry

abc: 7.7675 7.7675 7.7675
angles: 90.00 90.00 90.00
Space group Fm-3m (No. 225)
Symmetry-distinct sites (fractional):
La: 0.2500 0.2500 0.2500
Nb: 0.0000 0.0000 0.0000
I: 0.0000 0.0000 0.5000

## Properties
ΔE_f (raw) = 0.218 eV/atom
E above lowest polymorph = 0.000 eV/atom

---

Compound: BeIN
Source: Alexandria
Functional: PBE
Structure: optimized geometry

abc: 3.1381 5.4355 5.2669
angles: 90.00 90.34 90.00
Space group C2 (No. 5)
Symmetry-distinct sites (fractional):
Be: 0.0000 0.0000 0.0000
I: 0.0000 0.6664 0.5000
N: 0.0000 0.6666 0.0000

## Properties
ΔE_f (raw) = 0.302 eV/atom
E above lowest polymorph = 0.020 eV/atom

---

Compound: Ag5SnHg
Source: Alexandria
Functional: PBE
Structure: optimized geometry

abc: 4.1707 4.1707 8.4430
angles: 90.00 90.00 90.00
Space group P4/mmm (No. 123)
Symmetry-distinct sites (fractional):
Ag: 0.0000 0.0000 0.0000
Ag: 0.0000 0.5000 0.2580
Sn: 0.5000 0.5000 0.0000
Hg: 0.0000 0.0000 0.5000

## Properties
E above lowest polymorph = 0.048 eV/atom
Energy relative to the elements = 63.0 kJ/mol of formula units

---

Compound: Ba3Al4Zn2
Source: Alexandria
Functional: PBE
Structure: optimized geometry

abc: 12.5853 4.4472 10.1947
angles: 90.00 111.82 90.00
Space group C2/m (No. 12)
Symmetry-distinct sites (fractional):
Ba: 0.0000 0.0000 0.0000
Ba: 0.0850 0.5000 0.6867
Al: 0.1755 0.0000 0.4390
Al: 0.2345 0.5000 0.0578
Zn: 0.1959 0.5000 0.2932

## Properties
E above lowest polymorph = 0.000 eV/atom
Energy relative to the elements = -166.3 kJ/mol of formula units

---

Compound: Ca2CeAg
Source: Alexandria
Functional: PBE
Structure: optimized geometry

abc: 3.6074 3.6074 9.6099
angles: 90.00 90.00 90.00
Space group P4/mmm (No. 123)
Symmetry-distinct sites (fractional):
Ca: 0.0000 0.0000 0.1995
Ce: 0.5000 0.5000 0.5000
Ag: 0.5000 0.5000 0.0000

## Properties
E above lowest polymorph = 0.000 eV/atom
Energy relative to the elements = 1.6 kJ/mol of formula units

---

Compound: Hg12Pb3Au5
Source: Alexandria
Functional: PBE
Structure: optimized geometry

abc: 17.1013 17.1013 17.1013
angles: 90.00 90.00 90.00
Space group Ia-3d (No. 230)
Symmetry-distinct sites (fractional):
Hg: 0.0308 0.0761 0.6439
Pb: 0.0000 0.2500 0.1250
Au: 0.0000 0.0000 0.0000
Au: 0.0000 0.2500 0.3750

## Properties
Energy relative to the elements = 353.9 kJ/mol of formula units

---

Compound: Zn2ReSi
Source: Alexandria
Functional: PBE
Structure: optimized geometry

abc: 9.8811 2.6454 4.4118
angles: 90.00 95.11 90.00
Space group C2/m (No. 12)
Symmetry-distinct sites (fractional):
Zn: 0.2394 0.0000 0.2464
Re: 0.0000 0.5000 0.0000
Si: 0.0000 0.0000 0.5000

## Properties
ΔE_f (raw) = 0.129 eV/atom

---

Compound: K2SrP
Source: Alexandria
Functional: PBE
Structure: optimized geometry

abc: 4.7703 4.7703 11.8121
angles: 90.00 90.00 90.00
Space group I4/mmm (No. 139)
Symmetry-distinct sites (fractional):
K: 0.0000 0.5000 0.2500
Sr: 0.0000 0.0000 0.0000
P: 0.0000 0.0000 0.5000

## Properties
Energy relative to the elements = -37.4 kJ/mol of formula units

---

Compound: Ni2POs
Source: Alexandria
Functional: PBE
Structure: optimized geometry

abc: 2.8293 4.6448 7.7607
angles: 90.00 90.00 90.00
Space group Cmm2 (No. 35)
Symmetry-distinct sites (fractional):
Ni: 0.0000 0.0000 0.0000
Ni: 0.0000 0.5000 0.2626
P: 0.0000 0.5000 0.7824
Os: 0.0000 0.0000 0.5417

## Properties
E above lowest polymorph = 0.401 eV/atom
Energy relative to the elements = 117.8 kJ/mol of formula units

---

Compound: YUFe4
Source: Alexandria
Functional: PBE
Structure: optimized geometry

abc: 7.1901 7.1901 7.1901
angles: 90.00 90.00 90.00
Space group F-43m (No. 216)
Symmetry-distinct sites (fractional):
Y: 0.0000 0.0000 0.0000
U: 0.2500 0.2500 0.2500
Fe: 0.1247 0.1247 0.6247

## Properties
E above lowest polymorph = 0.005 eV/atom
Energy relative to the elements = 4.5 kJ/mol of formula units

---

Compound: AlCdRuO6
Source: Alexandria
Functional: PBE
Structure: optimized geometry

abc: 5.0524 5.0524 9.6514
angles: 90.00 90.00 120.00
Space group P-31c (No. 163)
Symmetry-distinct sites (fractional):
Al: 0.3333 0.6667 0.2500
Cd: 0.0000 0.0000 0.0000
Ru: 0.3333 0.6667 0.7500
O: 0.0012 0.3709 0.1423

## Properties
ΔE_f (raw) = -1.338 eV/atom

---

Compound: Tb4CSe2N
Source: Alexandria
Functional: PBE
Structure: optimized geometry

abc: 6.4749 3.7448 6.9133
angles: 90.00 108.23 90.00
Space group P2/m (No. 10)
Symmetry-distinct sites (fractional):
Tb: 0.2345 0.0000 0.2014
Tb: 0.2658 0.5000 0.7956
C: 0.5000 0.0000 0.0000
Se: 0.0000 0.0000 0.5000
Se: 0.5000 0.5000 0.5000
N: 0.0000 0.5000 0.0000

## Properties
ΔE_f (raw) = -1.447 eV/atom

---

Compound: Ni2HgGe
Source: Alexandria
Functional: PBE
Structure: optimized geometry

abc: 3.9696 3.9696 27.6446
angles: 90.00 90.00 120.00
Space group R3m (No. 160, hexagonal axes)
Symmetry-distinct sites (fractional):
Ni: 0.0000 0.0000 0.0000
Ni: 0.0000 0.0000 0.0947
Ni: 0.0000 0.0000 0.3854
Ni: 0.0000 0.0000 0.6142
Hg: 0.0000 0.0000 0.4872
Hg: 0.0000 0.0000 0.8872
Ge: 0.0000 0.0000 0.3004
Ge: 0.0000 0.0000 0.7309

## Properties
E above lowest polymorph = 0.015 eV/atom
Energy relative to the elements = -25.7 kJ/mol of formula units

---

Compound: Na3Sm3AlO8
Source: Alexandria
Functional: PBE
Structure: optimized geometry

abc: 6.8197 6.8197 16.6774
angles: 90.00 90.00 120.00
Space group R-3m (No. 166, hexagonal axes)
Symmetry-distinct sites (fractional):
Na: 0.0000 0.5000 0.0000
Sm: 0.0000 0.5000 0.5000
Al: 0.0000 0.0000 0.5000
O: 0.0000 0.0000 0.2391
O: 0.0457 0.5228 0.2310

## Properties
ΔE_f (raw) = -2.508 eV/atom

---

Compound: Pm3Sm2Dy6
Source: Alexandria
Functional: PBE
Structure: optimized geometry

abc: 4.7660 4.7660 33.2868
angles: 90.00 90.00 90.00
Space group I4/mmm (No. 139)
Symmetry-distinct sites (fractional):
Pm: 0.0000 0.0000 0.0000
Pm: 0.0000 0.0000 0.2025
Sm: 0.0000 0.0000 0.4540
Dy: 0.0000 0.0000 0.3058
Dy: 0.0000 0.5000 0.1209

## Properties
E above lowest polymorph = 0.074 eV/atom
Energy relative to the elements = 280.4 kJ/mol of formula units